(1)
# HfB4Ir3 (PBE-GGA, relaxed)
data_HfB4Ir3
_symmetry_space_group_name_H-M 'P 63/m'
_symmetry_Int_Tables_number 176
_symmetry_space_group_name_Hall '-P 6c'
_cell_length_a 7.6234
_cell_length_b 7.6234
_cell_length_c 3.5219
_cell_angle_alpha 90.00
_cell_angle_beta 90.00
_cell_angle_gamma 120.00
loop_
_atom_site_label
_atom_site_fract_x
_atom_site_fract_y
_atom_site_fract_z
_atom_site_occupancy
Hf1 0.3333 0.6667 0.2500 1
B1 0.0000 0.0000 0.0000 1
B2 0.0510 0.6025 0.7500 1
Ir1 0.0754 0.3324 0.7500 1
# **DFT formation energy**: -528 meV per atom
# **Total moment**: 0.0 Bohr magnetons per cell

(2)
# ReSe2BrN (PBE-GGA, relaxed)
data_ReSe2BrN
_symmetry_space_group_name_H-M 'P 4/m m m'
_symmetry_Int_Tables_number 123
_symmetry_space_group_name_Hall '-P 4 2'
_cell_length_a 4.7596
_cell_length_b 4.7596
_cell_length_c 5.2157
_cell_angle_alpha 90.00
_cell_angle_beta 90.00
_cell_angle_gamma 90.00
loop_
_atom_site_label
_atom_site_fract_x
_atom_site_fract_y
_atom_site_fract_z
_atom_site_occupancy
Re1 0.0000 0.0000 0.0000 1
Se1 0.0000 0.5000 0.0000 1
Br1 0.0000 0.0000 0.5000 1
N1 0.5000 0.5000 0.5000 1
# **Distance to the lowest polymorph of the same formula**: 1.236 eV/atom
# **Total moment**: 0.0 Bohr magnetons per cell
# **ΔE_f (raw)**: 1.65 eV/atom